[1]
DFT (GGA-PBE) results for a relaxed structure of Y4TmAu5.

Unit cell a=3.568 b=3.568 c=18.251 alpha=90.00 beta=90.00 gamma=90.00
Fractional positions:
Au: 0.500 0.500 0.904
Au: 0.500 0.500 0.299
Au: 0.500 0.500 0.500
Au: 0.500 0.500 0.701
Au: 0.500 0.500 0.096
Tm: 0.000 0.000 0.000
Y: 0.000 0.000 0.802
Y: 0.000 0.000 0.198
Y: 0.000 0.000 0.399
Y: 0.000 0.000 0.601



[2]
DFT (GGA-PBE) results for a relaxed structure of Y2TmAu6.

Unit cell a=5.273 b=5.249 c=8.468 alpha=71.95 beta=80.98 gamma=59.63
Fractional positions:
Au: 0.166 0.505 0.829
Au: 0.327 0.330 0.500
Au: 0.166 0.835 0.171
Au: 0.834 0.165 0.829
Au: 0.673 0.670 0.500
Au: 0.834 0.495 0.171
Y: 0.500 0.165 0.170
Y: 0.500 0.835 0.830
Tm: 0.000 0.000 0.500



[3]
DFT (GGA-PBE) results for a relaxed structure of Y4TmAu2.

Unit cell a=5.024 b=5.024 c=10.101 alpha=75.60 beta=75.60 gamma=60.00
Fractional positions:
Y: 0.703 0.703 0.892
Y: 0.297 0.297 0.108
Y: 0.896 0.896 0.312
Y: 0.104 0.104 0.688
Tm: 0.500 0.500 0.500
Au: 0.600 0.600 0.199
Au: 0.400 0.400 0.801



The calculation returns the following calculated total energy values, one per record and in order: -0.4072; -0.3615; -0.4067 Ry/atom.
The calculation returns the following formation enthalpy at 0 K values, one per record and in order: -0.8686; -0.8004; -0.2645 eV/atom.